First-principles (meta-GGA SCAN) data for a PBEsol-optimized structure of Sc2CuHg, as listed in Alexandria.

Cell and atoms, written as POSCAR:
```
Sc2CuHg
1.0
4.727 0.000 0.000
0.000 4.727 0.000
0.000 0.000 3.379
Sc Cu Hg
2 1 1
Direct
0.000 0.500 0.000 Sc
0.500 0.000 0.000 Sc
0.000 0.000 0.500 Cu
0.500 0.500 0.500 Hg
```

Properties
As for the space-group type: No. 123. The calculation puts the energy of formation at -47 kJ/mol of atoms. As for the total DFT energy (no corrections): -28.446 eV per atom.

First-principles (meta-GGA SCAN) data for a PBEsol-optimized structure of CuHg2Se, as listed in Alexandria.

Cell and atoms, written as POSCAR:
```
CuHg2Se
1.0
6.800 0.000 0.000
0.000 3.927 0.000
-2.238 0.000 6.309
Cu Hg Se
2 4 2
Direct
0.000 0.000 0.000 Cu
0.500 0.500 0.000 Cu
0.018 0.500 0.552 Hg
0.253 0.500 0.259 Hg
0.518 0.000 0.552 Hg
0.753 0.000 0.259 Hg
0.292 0.000 0.875 Se
0.792 0.500 0.875 Se
```

Properties
As for the space-group type: No. 8. As for the total DFT energy (no corrections): -42.919 eV per atom. Its uncorrected formation energy is -6 kJ/mol of formula units.

First-principles (meta-GGA SCAN) data for a PBEsol-optimized structure of CuHg2Se, as listed in Alexandria.

Cell and atoms, written as POSCAR:
```
CuHg2Se
1.0
4.322 0.000 0.000
0.000 4.322 0.000
0.000 0.000 8.240
Cu Hg Se
2 4 2
Direct
0.000 0.000 0.000 Cu
0.500 0.500 0.500 Cu
0.000 0.000 0.500 Hg
0.000 0.500 0.250 Hg
0.500 0.000 0.750 Hg
0.500 0.500 0.000 Hg
0.000 0.500 0.750 Se
0.500 0.000 0.250 Se
```

Properties
As for the space-group type: No. 119. As for the total DFT energy (no corrections): -42.534 eV per atom. Its uncorrected formation energy is 142 kJ/mol of formula units.

First-principles (meta-GGA SCAN) data for a PBEsol-optimized structure of CuSnHg3, as listed in Alexandria.

Cell and atoms, written as POSCAR:
```
CuSnHg3
1.0
4.935 0.000 0.000
0.000 4.935 0.000
0.000 0.000 4.935
Cu Sn Hg
1 1 3
Direct
0.000 0.000 0.000 Cu
0.500 0.500 0.500 Sn
0.000 0.000 0.500 Hg
0.000 0.500 0.000 Hg
0.500 0.000 0.000 Hg
```

Properties
As for the space-group type: No. 221. The calculation puts the energy of formation at 28 kJ/mol of atoms. As for the total DFT energy (no corrections): -50.837 eV per atom.

First-principles (meta-GGA SCAN) data for a PBEsol-optimized structure of CuSn3Hg, as listed in Alexandria.

Cell and atoms, written as POSCAR:
```
CuSn3Hg
1.0
5.442 0.000 0.000
0.000 5.442 0.000
0.000 0.000 5.442
Cu Sn Hg
1 3 1
Direct
0.000 0.000 0.000 Cu
0.000 0.500 0.500 Sn
0.500 0.000 0.500 Sn
0.500 0.500 0.000 Sn
0.500 0.500 0.500 Hg
```

Properties
As for the space-group type: No. 221. The calculation puts the energy of formation at 100 kJ/mol of atoms. As for the total DFT energy (no corrections): -37.187 eV per atom.

First-principles (meta-GGA SCAN) data for a PBEsol-optimized structure of Cu2SnHgTe4, as listed in Alexandria.

Cell and atoms, written as POSCAR:
```
Cu2SnHgTe4
1.0
6.202 0.000 0.000
0.000 6.202 0.000
0.000 0.000 12.256
Cu Sn Hg Te
4 2 2 8
Direct
0.000 0.500 0.250 Cu
0.000 0.500 0.750 Cu
0.500 0.000 0.250 Cu
0.500 0.000 0.750 Cu
0.000 0.000 0.000 Sn
0.500 0.500 0.500 Sn
0.000 0.000 0.500 Hg
0.500 0.500 0.000 Hg
0.249 0.249 0.856 Te
0.249 0.751 0.144 Te
0.251 0.251 0.356 Te
0.251 0.749 0.644 Te
0.749 0.251 0.644 Te
0.749 0.749 0.356 Te
0.751 0.249 0.144 Te
0.751 0.751 0.856 Te
```

Properties
As for the space-group type: No. 121. As for the total DFT energy (no corrections): -35.582 eV per atom. Its uncorrected formation energy is -113 kJ/mol of formula units.

First-principles (meta-GGA SCAN) data for a PBEsol-optimized structure of SrCuHg2, as listed in Alexandria.

Cell and atoms, written as POSCAR:
```
SrCuHg2
1.0
4.629 0.000 0.000
-2.314 4.009 0.000
0.000 0.000 15.690
Sr Cu Hg
3 3 6
Direct
0.000 0.000 0.000 Sr
0.333 0.667 0.667 Sr
0.667 0.333 0.333 Sr
0.000 0.000 0.199 Cu
0.333 0.667 0.866 Cu
0.667 0.333 0.532 Cu
0.000 0.000 0.542 Hg
0.000 0.000 0.791 Hg
0.333 0.667 0.209 Hg
0.333 0.667 0.458 Hg
0.667 0.333 0.124 Hg
0.667 0.333 0.875 Hg
```

Properties
As for the space-group type: No. 160. The calculation puts the energy of formation at -30 kJ/mol of atoms. As for the total DFT energy (no corrections): -43.760 eV per atom.

First-principles (meta-GGA SCAN) data for a PBEsol-optimized structure of Ta2CuHg, as listed in Alexandria.

Cell and atoms, written as POSCAR:
```
Ta2CuHg
1.0
4.156 0.000 0.000
0.000 2.863 0.000
0.000 0.000 11.354
Ta Cu Hg
4 2 2
Direct
0.000 0.000 0.000 Ta
0.000 0.500 0.500 Ta
0.500 0.000 0.366 Ta
0.500 0.500 0.866 Ta
0.500 0.000 0.602 Cu
0.500 0.500 0.102 Cu
0.000 0.000 0.736 Hg
0.000 0.500 0.236 Hg
```

Properties
As for the space-group type: No. 38. The calculation puts the energy of formation at 23 kJ/mol of atoms. As for the total DFT energy (no corrections): -53.894 eV per atom. The energy above the most stable polymorph in this dataset is 0.000 eV/atom.

First-principles (meta-GGA SCAN) data for a PBEsol-optimized structure of TaCu2Hg2, as listed in Alexandria.

Cell and atoms, written as POSCAR:
```
TaCu2Hg2
1.0
3.205 0.000 0.000
0.000 3.205 0.000
0.000 0.000 16.589
Ta Cu Hg
2 4 4
Direct
0.000 0.000 0.000 Ta
0.500 0.500 0.500 Ta
0.000 0.500 0.250 Cu
0.000 0.500 0.750 Cu
0.500 0.000 0.250 Cu
0.500 0.000 0.750 Cu
0.000 0.000 0.384 Hg
0.000 0.000 0.616 Hg
0.500 0.500 0.116 Hg
0.500 0.500 0.884 Hg
```

Properties
As for the space-group type: No. 139. The calculation puts the energy of formation at 45 kJ/mol of atoms. As for the total DFT energy (no corrections): -46.197 eV per atom.

First-principles (meta-GGA SCAN) data for a PBEsol-optimized structure of Ta2CuHg, as listed in Alexandria.

Cell and atoms, written as POSCAR:
```
Ta2CuHg
1.0
9.795 0.000 0.000
0.000 2.876 0.000
-0.872 0.000 4.771
Ta Cu Hg
4 2 2
Direct
0.246 0.000 0.240 Ta
0.254 0.500 0.760 Ta
0.746 0.500 0.240 Ta
0.754 0.000 0.760 Ta
0.000 0.500 0.000 Cu
0.500 0.000 0.000 Cu
0.000 0.000 0.500 Hg
0.500 0.500 0.500 Hg
```

Properties
As for the space-group type: No. 12. The calculation puts the energy of formation at 31 kJ/mol of atoms. As for the total DFT energy (no corrections): -53.810 eV per atom. The energy above the most stable polymorph in this dataset is 0.084 eV/atom.

First-principles (meta-GGA SCAN) data for a PBEsol-optimized structure of Ta3CuHg, as listed in Alexandria.

Cell and atoms, written as POSCAR:
```
Ta3CuHg
1.0
4.600 0.000 0.000
0.000 4.600 0.000
0.000 0.000 4.600
Ta Cu Hg
3 1 1
Direct
0.000 0.000 0.500 Ta
0.000 0.500 0.000 Ta
0.500 0.000 0.000 Ta
0.000 0.000 0.000 Cu
0.500 0.500 0.500 Hg
```

Properties
As for the space-group type: No. 221. The calculation puts the energy of formation at 111 kJ/mol of atoms. As for the total DFT energy (no corrections): -55.473 eV per atom.

First-principles (meta-GGA SCAN) data for a PBEsol-optimized structure of CuTcHg2, as listed in Alexandria.

Cell and atoms, written as POSCAR:
```
CuTcHg2
1.0
4.253 0.000 0.000
0.000 4.253 0.000
0.000 0.000 7.351
Cu Tc Hg
2 2 4
Direct
0.000 0.000 0.000 Cu
0.500 0.500 0.500 Cu
0.000 0.000 0.500 Tc
0.500 0.500 0.000 Tc
0.000 0.500 0.250 Hg
0.000 0.500 0.750 Hg
0.500 0.000 0.250 Hg
0.500 0.000 0.750 Hg
```

Properties
As for the space-group type: No. 139. The calculation puts the energy of formation at 56 kJ/mol of atoms. As for the total DFT energy (no corrections): -46.065 eV per atom. The energy above the most stable polymorph in this dataset is 0.106 eV/atom.

no.,V (Å³ per atom)
1,18.880
2,21.058
3,19.239
4,24.035
5,32.226
6,29.468
7,24.263
8,16.884
9,17.035
10,16.804
11,19.461
12,16.620